(1)
Compound: TbDy4ScS8
Source: the Alexandria database
Functional: GGA-PBE
Structure: relaxed

Lattice parameters (Å, degrees): 7.9843 7.9843 7.9843 59.97 59.97 59.97
With the nearest neighbours (Å) after each atom.
Positions (direct):
Tb 0.0000 0.0000 0.0000  6 S 2.77-2.78
Dy 0.9999 0.9999 0.4868  6 S 2.76-2.77
Dy 0.9999 0.4868 0.9999  6 S 2.76-2.77
Dy 0.4868 0.9999 0.9999  6 S 2.76-2.77
Dy 0.6216 0.6216 0.6216  4 S 2.61
Sc 0.3715 0.3715 0.3715  4 S 2.49
S 0.2212 0.7545 0.7545  3 Dy 2.61-2.77, 1 Tb 2.78
S 0.2441 0.2441 0.2441  1 Sc 2.49, 3 Dy 2.76
S 0.2452 0.2452 0.7532  1 Sc 2.49, 2 Dy 2.76, 1 Tb 2.77
S 0.2452 0.7532 0.2452  1 Sc 2.49, 2 Dy 2.76, 1 Tb 2.77
S 0.7532 0.2452 0.2452  1 Sc 2.49, 2 Dy 2.76, 1 Tb 2.77
S 0.7545 0.2212 0.7545  3 Dy 2.61-2.77, 1 Tb 2.78
S 0.7545 0.7545 0.2212  3 Dy 2.61-2.77, 1 Tb 2.78
S 0.7552 0.7552 0.7552  4 Dy 2.61-2.77

Output
Theoretical density   5.13 g/cm3
Formation energy from raw total energies   -1.92 eV per atom
Density of states at the Fermi level   6.4 states/eV/cell

---

(2)
Compound: Ho3ScRu8
Source: the Alexandria database
Functional: GGA-PBE
Structure: relaxed

Lattice parameters (Å, degrees): 9.1996 9.1996 9.1996 33.36 33.36 33.36
With the nearest neighbours (Å) after each atom.
Positions (direct):
Ho 0.0000 0.0000 0.0000  12 Ru 3.06-3.10, 3 Sc 3.23, 1 Ho 3.27
Ho 0.1258 0.1258 0.1258  12 Ru 3.10-3.14, 4 Ho 3.25-3.27
Ho 0.5018 0.5018 0.5018  12 Ru 3.10-3.17, 1 Sc 3.23, 3 Ho 3.25
Sc 0.6257 0.6257 0.6257  12 Ru 3.08-3.10, 4 Ho 3.23
Ru 0.0596 0.5631 0.5631  6 Ru 2.62-2.67
Ru 0.0632 0.0632 0.5670  6 Ru 2.62-2.68
Ru 0.0632 0.5670 0.0632  6 Ru 2.62-2.68
Ru 0.3128 0.3128 0.3128  6 Ru 2.62-2.64
Ru 0.5631 0.0596 0.5631  6 Ru 2.62-2.67
Ru 0.5631 0.5631 0.0596  6 Ru 2.62-2.67
Ru 0.5670 0.0632 0.0632  6 Ru 2.62-2.68
Ru 0.8130 0.8130 0.8130  6 Ru 2.67-2.68

Output
Theoretical density   10.68 g/cm3
Density of states at the Fermi level   14.5 states/eV/cell
E   -8.17 eV per atom

---

(3)
Compound: Ca6PdAu
Source: the Alexandria database
Functional: GGA-PBE
Structure: relaxed

Lattice parameters (Å, degrees): 9.3388 9.3388 10.8190 125.02 125.02 70.75
With the nearest neighbours (Å) after each atom.
Positions (direct):
Ca 0.1311 0.5064 0.8133  1 Pd 2.84, 1 Au 2.93
Ca 0.1774 0.8145 0.6832  1 Pd 2.84, 1 Au 2.93
Ca 0.1855 0.8226 0.3168  1 Pd 2.84, 1 Au 2.93
Ca 0.3077 0.3077 0.4878  2 Pd 2.87
Ca 0.3187 0.3187 0.1366  2 Au 2.90
Ca 0.4936 0.8689 0.1867  1 Pd 2.84, 1 Au 2.93
Ca 0.5064 0.1311 0.8133  1 Pd 2.84, 1 Au 2.93
Ca 0.6813 0.6813 0.8634  2 Au 2.90
Ca 0.6923 0.6923 0.5122  2 Pd 2.87
Ca 0.8145 0.1774 0.6832  1 Pd 2.84, 1 Au 2.93
Ca 0.8226 0.1855 0.3168  1 Pd 2.84, 1 Au 2.93
Ca 0.8689 0.4936 0.1867  1 Pd 2.84, 1 Au 2.93
Pd 0.0000 0.5000 0.5000  6 Ca 2.84-2.87
Pd 0.5000 0.0000 0.5000  6 Ca 2.84-2.87
Au 0.0000 0.5000 0.0000  6 Ca 2.90-2.93
Au 0.5000 0.0000 0.0000  6 Ca 2.90-2.93

Output
Theoretical density   2.85 g/cm3
Density of states at the Fermi level   12.0 states/eV/cell
E   -2.86 eV per atom

---

(4)
Compound: Pm2PbSe4
Source: the Alexandria database
Functional: GGA-PBE
Structure: relaxed

Lattice parameters (Å, degrees): 7.2497 7.2497 14.4451 90.00 90.00 146.26
With the nearest neighbours (Å) after each atom.
Positions (direct):
Pm 0.1354 0.8646 0.5683  6 Se 2.91-2.99
Pm 0.1354 0.8646 0.9317  6 Se 2.91-2.99
Pm 0.8646 0.1354 0.0683  6 Se 2.91-2.99
Pm 0.8646 0.1354 0.4317  6 Se 2.91-2.99
Pb 0.3924 0.6076 0.7500  2 Se 2.95
Pb 0.6076 0.3924 0.2500  2 Se 2.95
Se 0.0417 0.9583 0.7500  2 Pm 2.93, 2 Pb 2.95
Se 0.2290 0.7710 0.1164  3 Pm 2.91-2.97
Se 0.2290 0.7710 0.3836  3 Pm 2.91-2.97
Se 0.5000 0.5000 0.0000  4 Pm 2.99
Se 0.5000 0.5000 0.5000  4 Pm 2.99
Se 0.7710 0.2290 0.6164  3 Pm 2.91-2.97
Se 0.7710 0.2290 0.8836  3 Pm 2.91-2.97
Se 0.9583 0.0417 0.2500  2 Pm 2.93, 2 Pb 2.95

Output
Theoretical density   6.40 g/cm3
Formation energy from raw total energies   -1.47 eV per atom

---

(5)
Compound: FeNiRu
Source: the Alexandria database
Functional: GGA-PBE
Structure: relaxed

Lattice parameters (Å, degrees): 2.6081 2.6081 10.7394 90.00 90.00 90.00
With the nearest neighbours (Å) after each atom.
Positions (direct):
Fe 0.0000 0.0000 0.0000  4 Ni 2.52, 4 Ru 2.57, 4 Fe 2.61
Fe 0.5000 0.5000 0.5000  4 Ni 2.52, 4 Ru 2.57, 4 Fe 2.61
Ni 0.0000 0.0000 0.3400  4 Fe 2.52, 4 Ni 2.61, 4 Ru 2.62
Ni 0.5000 0.5000 0.8400  4 Fe 2.52, 4 Ni 2.61, 4 Ru 2.62
Ru 0.0000 0.0000 0.6665  4 Fe 2.57, 4 Ru 2.61, 4 Ni 2.62
Ru 0.5000 0.5000 0.1665  4 Fe 2.57, 4 Ru 2.61, 4 Ni 2.62

Output
Theoretical density   9.80 g/cm3
Excess energy over the best structure of this formula in the dataset   2 meV/atom
Density of states at the Fermi level   7.2 states/eV/cell

---

(6)
Compound: Cs4Tb3SmSe8
Source: the Alexandria database
Functional: GGA-PBE
Structure: relaxed

Lattice parameters (Å, degrees): 9.7454 9.7454 9.7454 52.39 52.39 52.39
With the nearest neighbours (Å) after each atom.
Positions (direct):
Cs 0.0000 0.0000 0.0000  6 Se 3.59
Cs 0.0000 0.5000 0.5000  6 Se 3.62
Cs 0.5000 0.0000 0.5000  6 Se 3.62
Cs 0.5000 0.5000 0.0000  6 Se 3.62
Tb 0.0000 0.0000 0.5000  6 Se 2.93
Tb 0.0000 0.5000 0.0000  6 Se 2.93
Tb 0.5000 0.0000 0.0000  6 Se 2.93
Sm 0.5000 0.5000 0.5000  6 Se 2.96
Se 0.2255 0.7308 0.7308  2 Tb 2.93, 1 Sm 2.96
Se 0.2286 0.2286 0.2286  3 Tb 2.93
Se 0.2692 0.2692 0.7745  2 Tb 2.93, 1 Sm 2.96
Se 0.2692 0.7745 0.2692  2 Tb 2.93, 1 Sm 2.96
Se 0.7308 0.2255 0.7308  2 Tb 2.93, 1 Sm 2.96
Se 0.7308 0.7308 0.2255  2 Tb 2.93, 1 Sm 2.96
Se 0.7714 0.7714 0.7714  3 Tb 2.93
Se 0.7745 0.2692 0.2692  2 Tb 2.93, 1 Sm 2.96

Output
Theoretical density   5.53 g/cm3
Formation energy from raw total energies   -1.73 eV per atom
Density of states at the Fermi level   0.0 states/eV/cell

---

(7)
Compound: LiScPaFe
Source: the Alexandria database
Functional: GGA-PBE
Structure: relaxed

Lattice parameters (Å, degrees): 6.5891 6.5891 6.5891 90.00 90.00 90.00
With the nearest neighbours (Å) after each atom.
Positions (direct):
Li 0.0000 0.0000 0.0000  4 Pa 2.85, 4 Sc 2.85
Li 0.0000 0.5000 0.5000  4 Pa 2.85, 4 Sc 2.85
Li 0.5000 0.0000 0.5000  4 Pa 2.85, 4 Sc 2.85
Li 0.5000 0.5000 0.0000  4 Pa 2.85, 4 Sc 2.85
Sc 0.2500 0.2500 0.7500  4 Fe 2.85, 4 Li 2.85
Sc 0.2500 0.7500 0.2500  4 Fe 2.85, 4 Li 2.85
Sc 0.7500 0.2500 0.2500  4 Fe 2.85, 4 Li 2.85
Sc 0.7500 0.7500 0.7500  4 Fe 2.85, 4 Li 2.85
Pa 0.2500 0.2500 0.2500  4 Fe 2.85, 4 Li 2.85
Pa 0.2500 0.7500 0.7500  4 Fe 2.85, 4 Li 2.85
Pa 0.7500 0.2500 0.7500  4 Fe 2.85, 4 Li 2.85
Pa 0.7500 0.7500 0.2500  4 Fe 2.85, 4 Li 2.85
Fe 0.0000 0.0000 0.5000  4 Pa 2.85, 4 Sc 2.85
Fe 0.0000 0.5000 0.0000  4 Pa 2.85, 4 Sc 2.85
Fe 0.5000 0.0000 0.0000  4 Pa 2.85, 4 Sc 2.85
Fe 0.5000 0.5000 0.5000  4 Pa 2.85, 4 Sc 2.85

Output
Theoretical density   7.87 g/cm3
Density of states at the Fermi level   16.7 states/eV/cell
E   -6.43 eV per atom

---

(8)
Compound: TaTl4Te
Source: the Alexandria database
Functional: GGA-PBE
Structure: relaxed

Lattice parameters (Å, degrees): 6.1573 6.1573 6.1573 60.00 60.00 60.00
With the nearest neighbours (Å) after each atom.
Positions (direct):
Ta 0.0000 0.0000 0.0000  12 Tl 3.61, 4 Te 3.77
Tl 0.3745 0.3745 0.3745  6 Tl 3.07-3.09
Tl 0.3745 0.3745 0.8766  6 Tl 3.07-3.09
Tl 0.3745 0.8766 0.3745  6 Tl 3.07-3.09
Tl 0.8766 0.3745 0.3745  6 Tl 3.07-3.09
Te 0.7500 0.7500 0.7500  12 Tl 3.61, 4 Ta 3.77

Output
Theoretical density   11.33 g/cm3
Formation energy from raw total energies   0.84 eV per atom
Density of states at the Fermi level   5.6 states/eV/cell